[1]
Material: NdScGa
Method: DFT, PBE
State: relaxed

Summary:
Energy relative to the lowest polymorph listed for this composition: 0.0 meV/atom
Theoretical density: 5.2 g/cm3
Energy: -4.93 eV/atom

Cell and atoms, written as POSCAR:
```
NdScGa
1.0
0.0000 3.4616 3.4616
3.4616 0.0000 3.4616
3.4616 3.4616 0.0000
Nd Ga Sc
1 1 1
Direct
0.2500 0.2500 0.2500
0.0000 0.0000 0.0000
0.7500 0.7500 0.7500
```

[2]
Material: Nd2DyO3
Method: DFT, PBE
State: relaxed

Summary:
Theoretical density: 9.1 g/cm3
Energy: -7.60 eV/atom

Cell and atoms, written as POSCAR:
```
Nd2DyO3
1.0
-2.4079 0.4293 -2.4631
2.1447 -2.7263 -0.1260
-5.6536 -4.6653 4.7138
Dy O Nd
1 3 2
Direct
0.0000 0.0000 0.5000
0.3333 0.6667 0.6404
0.0000 0.0000 0.0000
0.6667 0.3333 0.3596
0.3333 0.6667 0.1704
0.6667 0.3333 0.8296
```

[3]
Material: Sc4In3W2C3
Method: DFT, PBE
State: relaxed

Summary:
Theoretical density: 7.7 g/cm3
Energy: -7.73 eV/atom

Cell and atoms, written as POSCAR:
```
Sc4In3W2C3
1.0
5.6614 0.0000 0.0000
-2.8019 4.9194 0.0000
-2.7709 -1.6802 14.4456
In Sc C W
6 8 6 4
Direct
0.1669 0.7251 0.7477
0.8331 0.2749 0.2523
0.1364 0.8864 0.2500
0.4774 0.4193 0.7523
0.8636 0.1136 0.7500
0.5226 0.5807 0.2477
0.7125 0.6949 0.5862
0.3913 0.8737 0.0862
0.5983 0.9597 0.4139
0.2875 0.3051 0.4138
0.9542 0.8156 0.9139
0.4017 0.0403 0.5861
0.0458 0.1844 0.0861
0.6087 0.1263 0.9138
0.0000 0.5000 0.0000
0.0000 0.0000 0.5000
0.3425 0.1852 0.0000
0.6575 0.8148 0.0000
0.3149 0.6575 0.5001
0.6851 0.3425 0.4999
0.2771 0.4766 0.9301
0.9535 0.6529 0.4301
0.7229 0.5234 0.0699
0.0465 0.3471 0.5699
```

[4]
Material: AlNiPt2
Method: DFT, PBE
State: relaxed

Summary:
Theoretical density: 13.8 g/cm3
Energy: -5.79 eV/atom

Cell and atoms, written as POSCAR:
```
AlNiPt2
1.0
-1.8253 -0.4440 3.8919
-3.9912 1.5026 0.6989
-3.2823 -2.7576 0.5453
Al Pt Ni
1 2 1
Direct
0.5000 0.5000 0.5000
0.7500 0.7500 0.7500
0.0000 0.0000 0.0000
0.2500 0.2500 0.2500
```

[5]
Material: YAg2O4
Method: DFT, PBE
State: relaxed

Summary:
Theoretical density: 7.0 g/cm3
Energy: -5.86 eV/atom

Cell and atoms, written as POSCAR:
```
YAg2O4
1.0
4.1297 -5.0545 0.0000
4.1297 5.0545 0.0000
-4.1069 0.0000 4.2181
Ag O Y
4 8 2
Direct
0.5000 0.0000 0.5000
0.0000 0.5000 0.0000
0.0000 0.0000 0.5000
0.0000 0.0000 0.0000
0.2503 0.3873 0.9179
0.7497 0.6127 0.0821
0.6127 0.7497 0.5821
0.3873 0.2503 0.4179
0.6565 0.0223 0.2698
0.0223 0.6565 0.7698
0.9777 0.3435 0.2302
0.3435 0.9777 0.7302
0.3751 0.6249 0.7500
0.6249 0.3751 0.2500
```

[6]
Material: CdBiNO
Method: DFT, PBE
State: relaxed

Summary:
Energy relative to the lowest polymorph listed for this composition: 0.0 meV/atom
Theoretical density: 8.1 g/cm3
Energy: -4.75 eV/atom

Cell and atoms, written as POSCAR:
```
CdBiNO
1.0
-1.7607 -3.0497 0.0000
0.0000 0.0000 5.9930
-5.9172 3.4163 0.0000
Bi N O Cd
2 2 2 2
Direct
0.5000 0.0085 0.1475
0.5000 0.5085 0.8525
0.0000 0.8843 0.3150
0.0000 0.3843 0.6850
0.5000 0.8414 0.7460
0.5000 0.3414 0.2540
0.0000 0.0198 0.6205
0.0000 0.5198 0.3795
```

Number 1: volume 83 Å³/f.u.. Number 2: volume 91 Å³/f.u.. Number 3: volume 201 Å³/f.u.. Number 4: volume 57 Å³/f.u.. Number 5: volume 88 Å³/f.u.. Number 6: volume 72 Å³/f.u..